Here is a geometry-optimized SnCl2O2 structure from the Alexandria database. Energies are from PBE.

Cell: 9.7671 6.9741 10.7835 Å, 90.00 121.06 90.00°
Positions (direct):
1 Sn 0.0911 0.2458 0.4668
2 Sn 0.0911 0.2542 0.9668
3 Sn 0.9089 0.7458 0.0332
4 Sn 0.9089 0.7542 0.5332
5 Cl 0.0773 0.0855 0.1814
6 Cl 0.0773 0.4145 0.6814
7 Cl 0.1848 0.5947 0.1369
8 Cl 0.1848 0.9053 0.6369
9 Cl 0.8152 0.0947 0.3631
10 Cl 0.8152 0.4053 0.8631
11 Cl 0.9227 0.5855 0.3186
12 Cl 0.9227 0.9145 0.8186
13 O 0.4799 0.7215 0.5529
14 O 0.4799 0.7785 0.0529
15 O 0.4817 0.2229 0.5335
16 O 0.4817 0.2771 0.0335
17 O 0.5183 0.7229 0.9665
18 O 0.5183 0.7771 0.4665
19 O 0.5201 0.2215 0.9471
20 O 0.5201 0.2785 0.4471

Properties
The total energy is -4.112 eV/atom. The uncorrected formation energy is -0.59 eV/atom.

***

Here is a geometry-optimized Er3ThSb2 structure from the Alexandria database. Energies are from PBE.

Cell: 9.5024 9.5024 9.7959 Å, 112.90 112.90 25.67°
Positions (direct):
1 Er 0.0574 0.0574 0.1685
2 Er 0.3133 0.3133 0.6091
3 Er 0.3574 0.3574 0.0290
4 Er 0.6426 0.6426 0.9710
5 Er 0.6867 0.6867 0.3909
6 Er 0.9426 0.9426 0.8315
7 Th 0.1118 0.1118 0.6176
8 Th 0.8882 0.8882 0.3824
9 Sb 0.2458 0.2458 0.2147
10 Sb 0.4878 0.4878 0.6560
11 Sb 0.5122 0.5122 0.3440
12 Sb 0.7542 0.7542 0.7853

Properties
The total energy is -5.495 eV/atom. The uncorrected formation energy is -0.60 eV/atom.

***

Here is a geometry-optimized Pr3Ag3Au2 structure from the Alexandria database. Energies are from PBE.

Cell: 5.7988 5.7988 17.5648 Å, 90.00 90.00 137.05°
Positions (direct):
1 Pr 0.0681 0.9319 0.6045
2 Pr 0.0681 0.9319 0.8955
3 Pr 0.3357 0.6643 0.7500
4 Pr 0.6643 0.3357 0.2500
5 Pr 0.9319 0.0681 0.1045
6 Pr 0.9319 0.0681 0.3955
7 Ag 0.3687 0.6313 0.5277
8 Ag 0.3687 0.6313 0.9723
9 Ag 0.3846 0.6154 0.2500
10 Ag 0.6154 0.3846 0.7500
11 Ag 0.6313 0.3687 0.0277
12 Ag 0.6313 0.3687 0.4723
13 Au 0.2203 0.7797 0.1203
14 Au 0.2203 0.7797 0.3797
15 Au 0.7797 0.2203 0.6203
16 Au 0.7797 0.2203 0.8797

Properties
As for the formation energy from the elements: -10.902 kcal/mol of atoms. The total energy is -4.154 eV/atom.

***

Here is a geometry-optimized ThGa2H6 structure from the Alexandria database. Energies are from PBE.

Cell: 5.4502 5.4502 5.4502 Å, 60.00 60.00 60.00°
Positions (direct):
1 Th 0.0000 0.0000 0.0000
2 Ga 0.2500 0.2500 0.2500
3 Ga 0.7500 0.7500 0.7500
4 H 0.2866 0.2866 0.7134
5 H 0.2866 0.7134 0.2866
6 H 0.2866 0.7134 0.7134
7 H 0.7134 0.2866 0.2866
8 H 0.7134 0.2866 0.7134
9 H 0.7134 0.7134 0.2866

Properties
The total energy is -3.207 eV/atom.

***

Here is a geometry-optimized MgRe2Pt structure from the Alexandria database. Energies are from PBE.

Cell: 2.7389 4.8366 4.7568 Å, 90.00 94.16 90.00°
Positions (direct):
1 Mg 0.0000 0.0000 0.0000
2 Re 0.2993 0.5000 0.7557
3 Re 0.7007 0.5000 0.2443
4 Pt 0.5000 0.0000 0.5000

Properties
As for the formation energy from the elements: 2.301 kcal/mol of atoms. The total energy is -8.033 eV/atom.

***

Here is a geometry-optimized PuThHg structure from the Alexandria database. Energies are from PBE.

Cell: 6.0791 6.0791 6.0791 Å, 142.67 142.67 53.82°
Positions (direct):
1 Pu 0.0000 0.0000 0.0000
2 Th 0.3288 0.3288 0.0000
3 Hg 0.6614 0.6614 0.0000

Properties
As for the formation energy from the elements: -0.188 kcal/mol of atoms. The total energy is -7.359 eV/atom.

***

Here is a geometry-optimized In5Pb3 structure from the Alexandria database. Energies are from PBE.

Cell: 9.7186 9.7186 5.8627 Å, 90.00 90.00 120.00°
Positions (direct):
1 In 0.0000 0.2049 0.2500
2 In 0.0000 0.7951 0.7500
3 In 0.2049 0.0000 0.2500
4 In 0.2049 0.2049 0.7500
5 In 0.3333 0.6667 0.0000
6 In 0.3333 0.6667 0.5000
7 In 0.6667 0.3333 0.0000
8 In 0.6667 0.3333 0.5000
9 In 0.7951 0.0000 0.7500
10 In 0.7951 0.7951 0.2500
11 Pb 0.0000 0.3984 0.7500
12 Pb 0.0000 0.6016 0.2500
13 Pb 0.3984 0.0000 0.7500
14 Pb 0.3984 0.3984 0.2500
15 Pb 0.6016 0.0000 0.2500
16 Pb 0.6016 0.6016 0.7500

Properties
As for the formation energy from the elements: 1.754 kcal/mol of atoms. The total energy is -3.026 eV/atom.

***

Here is a geometry-optimized KCuAuSe2 structure from the Alexandria database. Energies are from PBE.

Cell: 6.6654 6.6654 7.2688 Å, 90.00 90.00 125.86°
Positions (direct):
1 K 0.2500 0.7500 0.7679
2 K 0.7500 0.2500 0.2321
3 Cu 0.2500 0.2500 0.0000
4 Cu 0.7500 0.7500 0.0000
5 Au 0.0000 0.0000 0.5000
6 Au 0.5000 0.5000 0.5000
7 Se 0.1019 0.8981 0.2029
8 Se 0.3981 0.6019 0.2029
9 Se 0.6019 0.3981 0.7971
10 Se 0.8981 0.1019 0.7971

Properties
The total energy is -3.559 eV/atom. The uncorrected formation energy is -0.47 eV/atom.

***

Repeat the first record exactly.
Here is a geometry-optimized SnCl2O2 structure from the Alexandria database. Energies are from PBE.

Cell: 9.7671 6.9741 10.7835 Å, 90.00 121.06 90.00°
Positions (direct):
1 Sn 0.0911 0.2458 0.4668
2 Sn 0.0911 0.2542 0.9668
3 Sn 0.9089 0.7458 0.0332
4 Sn 0.9089 0.7542 0.5332
5 Cl 0.0773 0.0855 0.1814
6 Cl 0.0773 0.4145 0.6814
7 Cl 0.1848 0.5947 0.1369
8 Cl 0.1848 0.9053 0.6369
9 Cl 0.8152 0.0947 0.3631
10 Cl 0.8152 0.4053 0.8631
11 Cl 0.9227 0.5855 0.3186
12 Cl 0.9227 0.9145 0.8186
13 O 0.4799 0.7215 0.5529
14 O 0.4799 0.7785 0.0529
15 O 0.4817 0.2229 0.5335
16 O 0.4817 0.2771 0.0335
17 O 0.5183 0.7229 0.9665
18 O 0.5183 0.7771 0.4665
19 O 0.5201 0.2215 0.9471
20 O 0.5201 0.2785 0.4471

Properties
The total energy is -4.112 eV/atom. The uncorrected formation energy is -0.59 eV/atom.